# 1
The following is a PBE calculation of an optimized crystal structure of NbCoCu, from the Alexandria database.

Properties
E_form: 21 meV/atom
SG: Cmce

Cell: 7.293 5.234 4.914 Å, 118.02 90.00 90.00°
Element x y z (fractional)
Nb 0.404 0.809 0.654
Nb 0.596 0.191 0.346
Nb 0.096 0.809 0.154
Nb 0.904 0.191 0.846
Cu 0.250 0.309 0.155
Cu 0.750 0.691 0.845
Cu 0.750 0.691 0.345
Cu 0.250 0.309 0.655
Co 0.066 0.721 0.610
Co 0.434 0.721 0.110
Co 0.934 0.279 0.390
Co 0.566 0.279 0.890

# 2
The following is a PBE calculation of an optimized crystal structure of Nb3CoCu, from the Alexandria database.

Properties
E_form: 830 meV/atom
SG: Pm-3m

Cell: 4.567 4.567 4.567 Å, 90.00 90.00 90.00°
Element x y z (fractional)
Nb 0.000 0.500 0.000
Nb 0.000 0.000 0.500
Nb 0.500 0.000 0.000
Co 0.000 0.000 0.000
Cu 0.500 0.500 0.500

# 3
The following is a PBE calculation of an optimized crystal structure of NbCo4Cu, from the Alexandria database.

Properties
E_form: -51 meV/atom
SG: F-43m

Cell: 4.689 4.689 4.689 Å, 60.00 60.00 60.00°
Last column: magnetic moment on the atom in μB.
Element x y z (fractional)
Nb 0.250 0.250 0.250  -0.43
Co 0.625 0.625 0.124  1.01
Co 0.625 0.124 0.625  1.01
Co 0.625 0.625 0.625  1.01
Co 0.124 0.625 0.625  1.01
Cu 0.000 0.000 0.000  -0.01

# 4
The following is a PBE calculation of an optimized crystal structure of Nb2Co2Cu, from the Alexandria database.

Properties
E_form: 202 meV/atom
SG: P4/mbm

Cell: 7.342 7.342 2.756 Å, 90.00 90.00 90.00°
Element x y z (fractional)
Nb 0.342 0.842 0.000
Nb 0.842 0.658 0.000
Nb 0.658 0.158 0.000
Nb 0.158 0.342 0.000
Co 0.135 0.635 0.500
Co 0.635 0.865 0.500
Co 0.865 0.365 0.500
Co 0.365 0.135 0.500
Cu 0.000 0.000 0.000
Cu 0.500 0.500 0.000

Copy entry 4 word for word.
The following is a PBE calculation of an optimized crystal structure of Nb2Co2Cu, from the Alexandria database.

Properties
E_form: 202 meV/atom
SG: P4/mbm

Cell: 7.342 7.342 2.756 Å, 90.00 90.00 90.00°
Element x y z (fractional)
Nb 0.342 0.842 0.000
Nb 0.842 0.658 0.000
Nb 0.658 0.158 0.000
Nb 0.158 0.342 0.000
Co 0.135 0.635 0.500
Co 0.635 0.865 0.500
Co 0.865 0.365 0.500
Co 0.365 0.135 0.500
Cu 0.000 0.000 0.000
Cu 0.500 0.500 0.000

Which of these has the highest E_form?
Nb3CoCu

What is the E_form in the third record?
-51 meV/atom